{"formula": "Gd2NiO", "functional": "PBE+U", "state": "relaxed", "dos_at_fermi_per_ev_atom": 0.524, "final_energy_ev_per_atom": -9.5406, "cell": [[-3.267, -0.135, 0.930], [-1.941, -2.612, -0.984], [0.259, -4.825, 6.427]], "species": ["Ni", "Gd", "O", "Gd"], "frac_coords": [[0.000, 0.000, 0.000], [0.894, 0.894, 0.317], [0.500, 0.500, 0.500], [0.106, 0.106, 0.683]]}